1.
The following is a DFT calculation (GGA-PBE) of a relaxed ScSiTc2 crystal.

Properties
As for the total energy: -8.13 eV/atom. Its symmetry is R3m (160). The uncorrected formation energy comes out at -7 meV per atom.

Structure (CIF):
```
data_ScSiTc2
_space_group_name_H-M_alt 'P 1'
_space_group_IT_number 1
_space_group_name_Hall 'P 1'
_cell_length_a 2.929
_cell_length_b 2.929
_cell_length_c 25.948
_cell_angle_alpha 90.00
_cell_angle_beta 90.00
_cell_angle_gamma 120.00
loop_
_atom_site_label
_atom_site_type_symbol
_atom_site_fract_x
_atom_site_fract_y
_atom_site_fract_z
_atom_site_occupancy
Sc1 Sc 0.000 0.000 0.000 1
Sc2 Sc 0.333 0.667 0.667 1
Sc3 Sc 0.667 0.333 0.333 1
Si1 Si 0.000 0.000 0.759 1
Si2 Si 0.333 0.667 0.426 1
Si3 Si 0.667 0.333 0.092 1
Tc1 Tc 0.000 0.000 0.245 1
Tc2 Tc 0.000 0.000 0.499 1
Tc3 Tc 0.333 0.667 0.165 1
Tc4 Tc 0.333 0.667 0.911 1
Tc5 Tc 0.667 0.333 0.578 1
Tc6 Tc 0.667 0.333 0.832 1
```



2.
The following is a DFT calculation (GGA-PBE) of a relaxed ScSiTc2 crystal.

Properties
As for the total energy: -8.33 eV/atom. Its symmetry is I-4m2 (119). The uncorrected formation energy comes out at -208 meV per atom.

Structure (CIF):
```
data_ScSiTc2
_space_group_name_H-M_alt 'P 1'
_space_group_IT_number 1
_space_group_name_Hall 'P 1'
_cell_length_a 4.113
_cell_length_b 4.113
_cell_length_c 7.201
_cell_angle_alpha 90.00
_cell_angle_beta 90.00
_cell_angle_gamma 90.00
loop_
_atom_site_label
_atom_site_type_symbol
_atom_site_fract_x
_atom_site_fract_y
_atom_site_fract_z
_atom_site_occupancy
Sc1 Sc 0.000 0.000 0.000 1
Sc2 Sc 0.500 0.500 0.500 1
Si1 Si 0.000 0.500 0.750 1
Si2 Si 0.500 0.000 0.250 1
Tc1 Tc 0.000 0.000 0.500 1
Tc2 Tc 0.000 0.500 0.250 1
Tc3 Tc 0.500 0.000 0.750 1
Tc4 Tc 0.500 0.500 0.000 1
```



3.
The following is a DFT calculation (GGA-PBE) of a relaxed ScSi2Tc4 crystal.

Properties
As for the total energy: -8.81 eV/atom. Its symmetry is Cmmm (65). The uncorrected formation energy comes out at -434 meV per atom.

Structure (CIF):
```
data_ScSi2Tc4
_space_group_name_H-M_alt 'P 1'
_space_group_IT_number 1
_space_group_name_Hall 'P 1'
_cell_length_a 4.053
_cell_length_b 13.753
_cell_length_c 3.999
_cell_angle_alpha 90.00
_cell_angle_beta 90.00
_cell_angle_gamma 90.00
loop_
_atom_site_label
_atom_site_type_symbol
_atom_site_fract_x
_atom_site_fract_y
_atom_site_fract_z
_atom_site_occupancy
Sc1 Sc 0.000 0.000 0.000 1
Sc2 Sc 0.500 0.500 0.000 1
Si1 Si 0.000 0.415 0.500 1
Si2 Si 0.000 0.585 0.500 1
Si3 Si 0.500 0.085 0.500 1
Si4 Si 0.500 0.915 0.500 1
Tc1 Tc 0.000 0.185 0.500 1
Tc2 Tc 0.000 0.307 0.000 1
Tc3 Tc 0.000 0.693 0.000 1
Tc4 Tc 0.000 0.815 0.500 1
Tc5 Tc 0.500 0.193 0.000 1
Tc6 Tc 0.500 0.315 0.500 1
Tc7 Tc 0.500 0.685 0.500 1
Tc8 Tc 0.500 0.807 0.000 1
```



4.
The following is a DFT calculation (GGA-PBE) of a relaxed ScSiTc2 crystal.

Properties
As for the total energy: -8.39 eV/atom. Its symmetry is C2/m (12). The uncorrected formation energy comes out at -267 meV per atom.

Structure (CIF):
```
data_ScSiTc2
_space_group_name_H-M_alt 'P 1'
_space_group_IT_number 1
_space_group_name_Hall 'P 1'
_cell_length_a 8.848
_cell_length_b 3.120
_cell_length_c 4.776
_cell_angle_alpha 90.00
_cell_angle_beta 108.39
_cell_angle_gamma 90.00
loop_
_atom_site_label
_atom_site_type_symbol
_atom_site_fract_x
_atom_site_fract_y
_atom_site_fract_z
_atom_site_occupancy
Sc1 Sc 0.000 0.000 0.000 1
Sc2 Sc 0.500 0.500 0.000 1
Si1 Si 0.000 0.500 0.500 1
Si2 Si 0.500 0.000 0.500 1
Tc1 Tc 0.228 0.000 0.704 1
Tc2 Tc 0.272 0.500 0.296 1
Tc3 Tc 0.728 0.500 0.704 1
Tc4 Tc 0.772 0.000 0.296 1
```